# 1
Ca5MgPb3 (GGA-PBE, relaxed); crystal system = hexagonal; space-group type = P6_3/mcm; formation energy from the elements = -0.467 eV per atom; V = 546.1 Å³/cell; energy = -2.992 eV/atom
1.0
-1.244 1.457 6.721
3.970 -8.252 2.524
5.344 7.821 -0.706
Mg Ca Pb
2 10 6
Direct
0.500 0.000 0.000
0.000 0.000 0.000
0.250 0.308 0.308
0.250 0.000 0.692
0.750 0.308 0.000
0.500 0.333 0.667
0.750 0.000 0.308
0.250 0.692 0.000
0.000 0.333 0.667
0.000 0.667 0.333
0.500 0.667 0.333
0.750 0.692 0.692
0.750 0.648 0.000
0.750 0.352 0.352
0.250 0.352 0.000
0.750 0.000 0.648
0.250 0.000 0.352
0.250 0.648 0.648



# 2
NaSn2Au4 (GGA-PBE, relaxed); crystal system = tetragonal; space-group type = P4_2/mnm; formation energy from the elements = -0.135 eV per atom; V = 316.2 Å³/cell; polymorph energy (0 for the lowest one) = 89 meV per atom; energy = -3.340 eV/atom
1.0
-0.763 -2.174 -3.730
3.397 -7.007 3.390
-7.643 -2.300 2.904
Au Sn Na
8 4 2
Direct
0.500 0.838 0.417
0.500 0.583 0.162
0.000 0.083 0.338
0.000 0.917 0.662
0.500 0.417 0.838
0.500 0.162 0.583
0.000 0.662 0.917
0.000 0.338 0.083
0.500 0.282 0.282
0.000 0.782 0.218
0.000 0.218 0.782
0.500 0.718 0.718
0.000 0.500 0.500
0.500 0.000 0.000



# 3
SrZr2Sb (GGA-PBE, relaxed); crystal system = monoclinic; space-group type = Cm; raw formation energy = -0.055 eV per atom; V = 119.3 Å³/cell; energy = -5.780 eV/atom
1.0
-3.621 -3.563 -0.913
-1.276 -4.725 1.638
-4.435 1.796 4.896
Sr Zr Sb
1 2 1
Direct
0.233 0.233 0.265
0.760 0.760 0.777
0.017 0.017 0.896
0.489 0.489 0.562



# 4
Rb2BiBr6O (GGA-PBE, relaxed); crystal system = tetragonal; space-group type = I4/mmm; raw formation energy = -0.774 eV per atom; V = 364.6 Å³/cell; energy = -2.856 eV/atom
1.0
8.594 0.000 0.000
0.000 8.594 0.000
4.297 4.297 4.936
Br Rb Bi O
6 2 1 1
Direct
0.767 0.767 0.000
0.233 0.767 0.000
0.767 0.233 0.000
0.290 0.290 0.420
0.233 0.233 0.000
0.710 0.710 0.580
0.750 0.250 0.500
0.250 0.750 0.500
0.000 0.000 0.000
0.500 0.500 0.000



# 5
BaAgB2 (GGA-PBE, relaxed); crystal system = cubic; space-group type = Fm-3m; formation energy from the elements = 1.328 eV per atom; V = 75.2 Å³/cell; polymorph energy (0 for the lowest one) = 535 meV per atom; energy = -3.204 eV/atom
1.0
0.000 3.350 3.350
3.350 0.000 3.350
3.350 3.350 0.000
B Ag Ba
2 1 1
Direct
0.250 0.250 0.250
0.750 0.750 0.750
0.000 0.000 0.000
0.500 0.500 0.500



# 6
Tb8Th3Sc2 (GGA-PBE, relaxed); crystal system = triclinic; space-group type = P-1; formation energy from the elements = 0.049 eV per atom; V = 401.9 Å³/cell; energy = -5.486 eV/atom
1.0
5.886 0.805 1.479
-0.460 5.121 3.313
-1.374 -2.489 11.304
Tb Sc Th
8 2 3
Direct
0.151 0.763 0.311
0.078 0.384 0.155
0.691 0.454 0.388
0.609 0.072 0.234
0.391 0.928 0.766
0.309 0.546 0.612
0.922 0.616 0.845
0.849 0.237 0.689
0.231 0.149 0.464
0.769 0.851 0.536
0.462 0.306 0.925
0.538 0.694 0.075
0.000 0.000 0.000